Record 1
Pr2Nd6Y3In | PBE | relaxed

Computed properties:
D(E_F), states/eV per cell: 14.36
Magnetic moment, μB per formula unit: 0.00
Uncorrected energy, eV per atom: -5.08
Space group: C2/m (12)
Formation enthalpy at 0 K, eV/atom: -0.053

a b c (Å): 6.2562 6.2562 11.9862
angles (deg): 95.00 95.00 120.10
Last column: nearest neighbours and their distance in Å.
Fractional positions:
Pr (0.1664, 0.8336, 0.0000)  3 In 3.61-3.62, 3 Pr 3.61, 6 Nd 3.63-3.64
Pr (0.8336, 0.1664, 0.0000)  3 In 3.61-3.62, 3 Pr 3.61, 6 Nd 3.63-3.64
Nd (0.0916, 0.4168, 0.7497)  6 Nd 3.52-3.66, 1 In 3.59, 3 Y 3.59-3.64, 2 Pr 3.63
Nd (0.2584, 0.2584, 0.2510)  6 Nd 3.52-3.66, 3 Y 3.59-3.63, 1 In 3.59, 2 Pr 3.64
Nd (0.4168, 0.0916, 0.7497)  6 Nd 3.52-3.66, 1 In 3.59, 3 Y 3.59-3.64, 2 Pr 3.63
Nd (0.5832, 0.9084, 0.2503)  6 Nd 3.52-3.66, 1 In 3.59, 3 Y 3.59-3.64, 2 Pr 3.63
Nd (0.7416, 0.7416, 0.7490)  6 Nd 3.52-3.66, 3 Y 3.59-3.63, 1 In 3.59, 2 Pr 3.64
Nd (0.9084, 0.5832, 0.2503)  6 Nd 3.52-3.66, 1 In 3.59, 3 Y 3.59-3.64, 2 Pr 3.63
Y (0.0000, 0.0000, 0.5000)  6 Nd 3.60-3.63, 6 Y 3.61
Y (0.3331, 0.6669, 0.5000)  6 Nd 3.59-3.64, 6 Y 3.61-3.62
Y (0.6669, 0.3331, 0.5000)  6 Nd 3.59-3.64, 6 Y 3.61-3.62
In (0.5000, 0.5000, 0.0000)  6 Nd 3.59, 6 Pr 3.61-3.62

***

Record 2
SrZnRu2 | PBE | relaxed

Computed properties:
D(E_F), states/eV per cell: 8.11
Magnetic moment, μB per formula unit: 2.47
Uncorrected energy, eV per atom: -4.68
Space group: I4/mmm (139)
Formation enthalpy at 0 K, eV/atom: 0.693

a b c (Å): 4.1347 4.1347 8.7728
angles (deg): 90.00 90.00 90.00
Last column: nearest neighbours and their distance in Å.
Fractional positions:
Sr (0.0000, 0.0000, 0.0000)  4 Zn 2.92, 8 Ru 3.01
Sr (0.5000, 0.5000, 0.5000)  4 Zn 2.92, 8 Ru 3.01
Zn (0.0000, 0.0000, 0.5000)  4 Sr 2.92, 8 Ru 3.01
Zn (0.5000, 0.5000, 0.0000)  4 Sr 2.92, 8 Ru 3.01
Ru (0.0000, 0.5000, 0.2500)  4 Ru 2.92, 4 Sr 3.01, 4 Zn 3.01
Ru (0.0000, 0.5000, 0.7500)  4 Ru 2.92, 4 Sr 3.01, 4 Zn 3.01
Ru (0.5000, 0.0000, 0.2500)  4 Ru 2.92, 4 Sr 3.01, 4 Zn 3.01
Ru (0.5000, 0.0000, 0.7500)  4 Ru 2.92, 4 Sr 3.01, 4 Zn 3.01

***

Record 3
LiPr2ScTe4 | PBE | relaxed

Computed properties:
D(E_F), states/eV per cell: 3.66
Magnetic moment, μB per formula unit: 0.00
Uncorrected energy, eV per atom: -5.10
Space group: P2/m (10)

a b c (Å): 7.5590 4.3523 7.5712
angles (deg): 90.00 109.17 90.00
Last column: nearest neighbours and their distance in Å.
Fractional positions:
Li (0.0000, 0.0000, 0.0000)  6 Te 2.97-2.98
Pr (0.5000, 0.0000, 0.5000)  6 Te 3.20-3.21
Pr (0.5000, 0.5000, 0.0000)  6 Te 3.20-3.21
Sc (0.0000, 0.5000, 0.5000)  6 Te 2.97-2.98
Te (0.2221, 0.0000, 0.7417)  1 Li 2.97, 2 Sc 2.98, 3 Pr 3.21
Te (0.2235, 0.5000, 0.2417)  1 Sc 2.97, 2 Li 2.98, 3 Pr 3.20
Te (0.7765, 0.5000, 0.7583)  1 Sc 2.97, 2 Li 2.98, 3 Pr 3.20
Te (0.7779, 0.0000, 0.2583)  1 Li 2.97, 2 Sc 2.98, 3 Pr 3.21

***

Record 4
DyHoBr6 | PBE | relaxed

Computed properties:
D(E_F), states/eV per cell: 0.00
Magnetic moment, μB per formula unit: 0.00
Uncorrected energy, eV per atom: -4.24
Space group: C2/m (12)

a b c (Å): 6.9323 13.3925 6.9345
angles (deg): 90.00 107.27 90.00
Last column: nearest neighbours and their distance in Å.
Fractional positions:
Dy (0.0000, 0.0000, 0.0000)  6 Br 2.80-2.82
Dy (0.5000, 0.5000, 0.0000)  6 Br 2.80-2.82
Ho (0.0000, 0.5000, 0.5000)  6 Br 2.79-2.81
Ho (0.5000, 0.0000, 0.5000)  6 Br 2.79-2.81
Br (0.2488, 0.3566, 0.7490)  1 Ho 2.81, 1 Dy 2.82
Br (0.2488, 0.6434, 0.7490)  1 Ho 2.81, 1 Dy 2.82
Br (0.2501, 0.0000, 0.7492)  1 Ho 2.79, 1 Dy 2.80
Br (0.2499, 0.5000, 0.2508)  1 Ho 2.79, 1 Dy 2.80
Br (0.2512, 0.1434, 0.2510)  1 Ho 2.81, 1 Dy 2.82
Br (0.2512, 0.8566, 0.2510)  1 Ho 2.81, 1 Dy 2.82
Br (0.7488, 0.1434, 0.7490)  1 Ho 2.81, 1 Dy 2.82
Br (0.7488, 0.8566, 0.7490)  1 Ho 2.81, 1 Dy 2.82
Br (0.7499, 0.0000, 0.2508)  1 Ho 2.79, 1 Dy 2.80
Br (0.7501, 0.5000, 0.7492)  1 Ho 2.79, 1 Dy 2.80
Br (0.7512, 0.3566, 0.2510)  1 Ho 2.81, 1 Dy 2.82
Br (0.7512, 0.6434, 0.2510)  1 Ho 2.81, 1 Dy 2.82

***

Record 5
Sc4NO4 | PBE | relaxed

Computed properties:
D(E_F), states/eV per cell: 2.30
Magnetic moment, μB per formula unit: 0.88
Uncorrected energy, eV per atom: -8.65
Space group: I-42m (121)

a b c (Å): 5.9406 5.9406 5.9406
angles (deg): 128.48 128.48 75.85
Last column: nearest neighbours and their distance in Å.
Fractional positions:
Sc (0.0979, 0.6598, 0.0000)  1 N 1.96, 2 O 2.16
Sc (0.3402, 0.3402, 0.4381)  1 N 1.96, 2 O 2.16
Sc (0.6598, 0.0979, 0.0000)  1 N 1.96, 2 O 2.16
Sc (0.9022, 0.9022, 0.5619)  1 N 1.96, 2 O 2.16
N (0.0000, 0.0000, 0.0000)  4 Sc 1.96
O (0.0000, 0.5000, 0.5000)  4 Sc 2.16
O (0.2836, 0.2836, 0.0000)  4 Sc 2.21-2.24
O (0.5000, 0.0000, 0.5000)  4 Sc 2.16
O (0.7164, 0.7164, 0.0000)  4 Sc 2.21-2.24

***

Record 6
CaHo3In2 | PBE | relaxed

Computed properties:
D(E_F), states/eV per cell: 13.11
Magnetic moment, μB per formula unit: 0.00
Uncorrected energy, eV per atom: -3.75
Space group: C2/m (12)
Formation enthalpy at 0 K, eV/atom: -0.210

a b c (Å): 8.5039 8.5039 9.1883
angles (deg): 116.52 116.52 37.25
Last column: nearest neighbours and their distance in Å.
Fractional positions:
Ca (0.1354, 0.1354, 0.1819)  5 In 3.22-3.46, 2 Ho 3.56
Ca (0.8646, 0.8646, 0.8181)  5 In 3.22-3.46, 2 Ho 3.56
Ho (0.0598, 0.0598, 0.7116)  3 In 3.30-3.44, 6 Ho 3.43-3.65
Ho (0.3100, 0.3100, 0.0094)  2 In 3.06-3.32, 2 Ho 3.29
Ho (0.3853, 0.3853, 0.4611)  3 In 2.98-3.17
Ho (0.6147, 0.6147, 0.5389)  3 In 2.98-3.17
Ho (0.6900, 0.6900, 0.9906)  2 In 3.06-3.32, 2 Ho 3.29
Ho (0.9402, 0.9402, 0.2884)  3 In 3.30-3.44, 6 Ho 3.43-3.65
In (0.2287, 0.2287, 0.6040)  5 Ho 3.17-3.35, 3 Ca 3.44-3.46, 1 In 3.51
In (0.4749, 0.4749, 0.8289)  1 In 2.85, 2 Ho 2.98-3.06
In (0.5251, 0.5251, 0.1711)  1 In 2.85, 2 Ho 2.98-3.06
In (0.7713, 0.7713, 0.3960)  5 Ho 3.17-3.35, 3 Ca 3.44-3.46, 1 In 3.51

***

Record 7
YBeCd2 | PBE | relaxed

Computed properties:
D(E_F), states/eV per cell: 6.23
Magnetic moment, μB per formula unit: 0.00
Uncorrected energy, eV per atom: -2.74
Space group: C2/m (12)
Formation enthalpy at 0 K, eV/atom: 0.262

a b c (Å): 5.8115 10.8091 3.1421
angles (deg): 90.00 117.83 90.00
Last column: nearest neighbours and their distance in Å.
Fractional positions:
Y (0.0000, 0.0000, 0.0000)  4 Be 2.91-3.13, 4 Cd 3.12, 2 Y 3.14
Y (0.5000, 0.5000, 0.0000)  4 Be 2.91-3.13, 4 Cd 3.12, 2 Y 3.14
Be (0.0000, 0.5000, 0.0000)  4 Y 2.91-3.13, 4 Cd 3.12, 2 Be 3.14
Be (0.5000, 0.0000, 0.0000)  4 Y 2.91-3.13, 4 Cd 3.12, 2 Be 3.14
Cd (0.2500, 0.2500, 0.5000)  6 Cd 2.91-3.14, 2 Be 3.12, 2 Y 3.12
Cd (0.2500, 0.7500, 0.5000)  6 Cd 2.91-3.14, 2 Be 3.12, 2 Y 3.12
Cd (0.7500, 0.2500, 0.5000)  6 Cd 2.91-3.14, 2 Be 3.12, 2 Y 3.12
Cd (0.7500, 0.7500, 0.5000)  6 Cd 2.91-3.14, 2 Be 3.12, 2 Y 3.12

***

Record 8
Tl2TcCl5 | PBE | relaxed

Computed properties:
D(E_F), states/eV per cell: 5.93
Magnetic moment, μB per formula unit: 1.96
Uncorrected energy, eV per atom: -3.77
Space group: P1 (1)

a b c (Å): 6.8545 6.8592 6.9813
angles (deg): 114.62 114.60 98.73
Last column: nearest neighbours and their distance in Å.
Fractional positions:
Tl (0.0000, 0.0000, 0.0000)  7 Cl 3.31-3.69
Tl (0.4990, 0.5000, 0.9989)  8 Cl 3.31-3.71
Tc (0.2457, 0.7455, 0.5011)  5 Cl 2.26-2.41
Cl (0.0367, 0.5365, 0.0536)  1 Tc 2.41
Cl (0.0597, 0.0082, 0.5010)  1 Tc 2.36
Cl (0.4847, 0.9844, 0.9485)  1 Tc 2.41
Cl (0.5097, 0.5610, 0.5011)  1 Tc 2.36
Cl (0.9936, 0.4922, 0.5014)  1 Tc 2.26

***

Record 9
HoTmSc2Bi4 | PBE | relaxed

Computed properties:
D(E_F), states/eV per cell: 1.49
Magnetic moment, μB per formula unit: 0.00
Uncorrected energy, eV per atom: -5.39
Space group: P2/m (10)
Formation enthalpy at 0 K, eV/atom: -0.731

a b c (Å): 7.5471 4.3587 7.5484
angles (deg): 90.00 109.47 90.00
Last column: nearest neighbours and their distance in Å.
Fractional positions:
Ho (0.0000, 0.0000, 0.0000)  6 Bi 3.14
Tm (0.0000, 0.5000, 0.5000)  6 Bi 3.13
Sc (0.5000, 0.0000, 0.5000)  6 Bi 3.03
Sc (0.5000, 0.5000, 0.0000)  6 Bi 3.04
Bi (0.2620, 0.0000, 0.7530)  3 Sc 3.03-3.04, 2 Tm 3.13, 1 Ho 3.14
Bi (0.2628, 0.5000, 0.2553)  3 Sc 3.03-3.04, 1 Tm 3.13, 2 Ho 3.14
Bi (0.7372, 0.5000, 0.7447)  3 Sc 3.03-3.04, 1 Tm 3.13, 2 Ho 3.14
Bi (0.7380, 0.0000, 0.2470)  3 Sc 3.03-3.04, 2 Tm 3.13, 1 Ho 3.14

***

Record 10
Na2LiTc | PBE | relaxed

Computed properties:
D(E_F), states/eV per cell: 15.11
Magnetic moment, μB per formula unit: 2.91
Uncorrected energy, eV per atom: -2.76
Space group: Fm-3m (225)
Formation enthalpy at 0 K, eV/atom: 0.970

a b c (Å): 7.1596 7.1596 7.1596
angles (deg): 90.00 90.00 90.00
Last column: nearest neighbours and their distance in Å.
Fractional positions:
Na (0.2500, 0.2500, 0.2500)  4 Li 3.10, 4 Tc 3.10
Na (0.2500, 0.2500, 0.7500)  4 Li 3.10, 4 Tc 3.10
Na (0.2500, 0.7500, 0.2500)  4 Li 3.10, 4 Tc 3.10
Na (0.2500, 0.7500, 0.7500)  4 Li 3.10, 4 Tc 3.10
Na (0.7500, 0.2500, 0.2500)  4 Li 3.10, 4 Tc 3.10
Na (0.7500, 0.2500, 0.7500)  4 Li 3.10, 4 Tc 3.10
Na (0.7500, 0.7500, 0.2500)  4 Li 3.10, 4 Tc 3.10
Na (0.7500, 0.7500, 0.7500)  4 Li 3.10, 4 Tc 3.10
Li (0.0000, 0.0000, 0.0000)  8 Na 3.10
Li (0.0000, 0.5000, 0.5000)  8 Na 3.10
Li (0.5000, 0.0000, 0.5000)  8 Na 3.10
Li (0.5000, 0.5000, 0.0000)  8 Na 3.10
Tc (0.0000, 0.0000, 0.5000)  8 Na 3.10
Tc (0.0000, 0.5000, 0.0000)  8 Na 3.10
Tc (0.5000, 0.0000, 0.0000)  8 Na 3.10
Tc (0.5000, 0.5000, 0.5000)  8 Na 3.10

***

Record 11
AcTb4Pr | PBE | relaxed

Computed properties:
D(E_F), states/eV per cell: 21.91
Magnetic moment, μB per formula unit: 0.00
Uncorrected energy, eV per atom: -4.29
Space group: Cmcm (63)
Formation enthalpy at 0 K, eV/atom: 0.275

a b c (Å): 6.6659 6.6659 11.1813
angles (deg): 90.00 90.00 120.62
Last column: nearest neighbours and their distance in Å.
Fractional positions:
Ac (0.0000, 0.0000, 0.0000)  4 Tb 3.43, 2 Pr 3.44
Ac (0.0000, 0.0000, 0.5000)  4 Tb 3.43, 2 Pr 3.44
Tb (0.1695, 0.3454, 0.2500)  2 Pr 3.19-3.47, 2 Tb 3.20-3.40, 2 Ac 3.43
Tb (0.3365, 0.6635, 0.5768)  3 Pr 3.83-4.11, 10 Tb 3.85-4.23, 3 Ac 3.90-3.99
Tb (0.3365, 0.6635, 0.9232)  3 Pr 3.83-4.11, 10 Tb 3.85-4.23, 3 Ac 3.90-3.99
Tb (0.3454, 0.1695, 0.7500)  2 Pr 3.19-3.47, 2 Tb 3.20-3.40, 2 Ac 3.43
Tb (0.6546, 0.8305, 0.2500)  2 Pr 3.19-3.47, 2 Tb 3.20-3.40, 2 Ac 3.43
Tb (0.6635, 0.3365, 0.0768)  3 Pr 3.83-4.11, 10 Tb 3.85-4.23, 3 Ac 3.90-3.99
Tb (0.6635, 0.3365, 0.4232)  3 Pr 3.83-4.11, 10 Tb 3.85-4.23, 3 Ac 3.90-3.99
Tb (0.8305, 0.6546, 0.7500)  2 Pr 3.19-3.47, 2 Tb 3.20-3.40, 2 Ac 3.43
Pr (0.1736, 0.8264, 0.2500)  4 Tb 3.19-3.47, 2 Ac 3.44
Pr (0.8264, 0.1736, 0.7500)  4 Tb 3.19-3.47, 2 Ac 3.44

***

Record 12
KGaGeTe3 | PBE | relaxed

Computed properties:
D(E_F), states/eV per cell: 3.38
Magnetic moment, μB per formula unit: 0.00
Uncorrected energy, eV per atom: -3.46
Space group: P2_1/m (11)

a b c (Å): 9.4821 4.4168 10.8279
angles (deg): 90.00 109.61 90.00
Last column: nearest neighbours and their distance in Å.
Fractional positions:
K (0.2193, 0.2500, 0.2296)  5 Te 3.53-3.66
K (0.7807, 0.7500, 0.7704)  5 Te 3.53-3.66
Ga (0.0805, 0.2500, 0.6303)  4 Te 2.56-2.75
Ga (0.9195, 0.7500, 0.3697)  4 Te 2.56-2.75
Ge (0.3387, 0.7500, 0.8837)  3 Te 2.75-2.98
Ge (0.6613, 0.2500, 0.1163)  3 Te 2.75-2.98
Te (0.0979, 0.2500, 0.8714)  1 Ga 2.56
Te (0.2027, 0.7500, 0.5527)  3 Ga 2.75
Te (0.4678, 0.7500, 0.1523)  3 Ge 2.75-2.98
Te (0.5322, 0.2500, 0.8477)  3 Ge 2.75-2.98
Te (0.7973, 0.2500, 0.4473)  3 Ga 2.75
Te (0.9021, 0.7500, 0.1286)  1 Ga 2.56

***

> What is the uncorrected energy in the tenth record?

-2.76 eV per atom

***

> uncorrected energy of number 6 (CaHo3In2)?

-3.75 eV per atom

***

> Look up the magnetic moment of the tenth one.

2.91 μB per formula unit